No. 1
An optimized crystal structure of BaLiW3, computed with PBE.

Summary:
energy above the lowest structure with this stoichiometry: 7.28 eV per formula unit
uncorrected energy: -24.48 eV/cell
total moment: 0.000 μB/atom

```
data_BaLiW3
_chemical_formula_sum 'Ba1 Li1 W3'
_space_group_name_H-M_alt 'P 1'
_space_group_IT_number 1
_cell_length_a 5.050
_cell_length_b 5.050
_cell_length_c 5.050
_cell_angle_alpha 90.00
_cell_angle_beta 90.00
_cell_angle_gamma 90.00
loop_
_space_group_symop_operation_xyz
'x,y,z'
loop_
_atom_site_label
_atom_site_type_symbol
_atom_site_fract_x
_atom_site_fract_y
_atom_site_fract_z
W1 W 0.000 0.500 0.000
W2 W 0.000 0.000 0.500
W3 W 0.500 0.000 0.000
Li1 Li 0.500 0.500 0.500
Ba1 Ba 0.000 0.000 0.000
```


No. 2
An optimized crystal structure of BaLi2W, computed with PBE.

Summary:
energy above the lowest structure with this stoichiometry: 0.29 eV per formula unit
uncorrected energy: -15.14 eV/cell
total moment: 0.000 μB/atom

```
data_BaLi2W
_chemical_formula_sum 'Ba1 Li2 W1'
_space_group_name_H-M_alt 'P 1'
_space_group_IT_number 1
_cell_length_a 2.998
_cell_length_b 2.998
_cell_length_c 9.533
_cell_angle_alpha 90.00
_cell_angle_beta 90.00
_cell_angle_gamma 90.00
loop_
_space_group_symop_operation_xyz
'x,y,z'
loop_
_atom_site_label
_atom_site_type_symbol
_atom_site_fract_x
_atom_site_fract_y
_atom_site_fract_z
W1 W 0.500 0.500 0.250
Li1 Li 0.000 0.000 0.055
Li2 Li 0.000 0.000 0.445
Ba1 Ba 0.500 0.500 0.750
```


No. 3
An optimized crystal structure of BaLi2W, computed with PBE.

Summary:
energy above the lowest structure with this stoichiometry: 0.36 eV per formula unit
uncorrected energy: -15.07 eV/cell
total moment: 0.000 μB/atom

```
data_BaLi2W
_chemical_formula_sum 'Ba1 Li2 W1'
_space_group_name_H-M_alt 'P 1'
_space_group_IT_number 1
_cell_length_a 5.378
_cell_length_b 5.378
_cell_length_c 6.035
_cell_angle_alpha 84.83
_cell_angle_beta 84.83
_cell_angle_gamma 31.76
loop_
_space_group_symop_operation_xyz
'x,y,z'
loop_
_atom_site_label
_atom_site_type_symbol
_atom_site_fract_x
_atom_site_fract_y
_atom_site_fract_z
Li1 Li 0.486 0.486 0.577
Li2 Li 0.014 0.014 0.923
Ba1 Ba 0.250 0.250 0.250
W1 W 0.750 0.750 0.750
```


No. 4
An optimized crystal structure of BaLi2W, computed with PBE.

Summary:
energy above the lowest structure with this stoichiometry: 0.50 eV per formula unit
uncorrected energy: -14.93 eV/cell
total moment: 0.093 μB/atom

```
data_BaLi2W
_chemical_formula_sum 'Ba1 Li2 W1'
_space_group_name_H-M_alt 'P 1'
_space_group_IT_number 1
_cell_length_a 11.231
_cell_length_b 11.231
_cell_length_c 11.231
_cell_angle_alpha 15.53
_cell_angle_beta 15.53
_cell_angle_gamma 15.53
loop_
_space_group_symop_operation_xyz
'x,y,z'
loop_
_atom_site_label
_atom_site_type_symbol
_atom_site_fract_x
_atom_site_fract_y
_atom_site_fract_z
Ba1 Ba 0.750 0.750 0.750
Li1 Li 0.986 0.986 0.986
Li2 Li 0.514 0.514 0.514
W1 W 0.250 0.250 0.250
```


no.,energy relative to the elements (eV per atom)
1,3.644
2,0.892
3,0.909
4,0.944